Entry 1:
Density functional theory data (PBE-GGA) for a relaxed NpTeS crystal.

Cell: 4.3628 4.3628 7.7972 Å, 90.00 90.00 90.00°
Fractional coordinates of all 6 atoms:
Np 0.2500 0.2500 0.2056
Np 0.7500 0.7500 0.7944
Te 0.2500 0.2500 0.6230
Te 0.7500 0.7500 0.3770
S 0.2500 0.7500 0.0000
S 0.7500 0.2500 0.0000

Summary:
Excess energy over the best structure of this formula in the dataset, meV per atom: 0
Density of states at the Fermi level, states/eV/f.u.: 9.70
Symmetry: P4/nmm



Entry 2:
Density functional theory data (PBE-GGA) for a relaxed Sb3Au2 crystal.

Cell: 8.7533 8.7533 8.7533 Å, 27.23 27.23 27.23°
Fractional coordinates of all 5 atoms:
Sb 0.0000 0.0000 0.0000
Sb 0.2059 0.2059 0.2059
Sb 0.7941 0.7941 0.7941
Au 0.3983 0.3983 0.3983
Au 0.6017 0.6017 0.6017

Summary:
Density of states at the Fermi level, states/eV/f.u.: 2.10
VASP energy, eV per cell: -19.12
Symmetry: R-3m



Entry 3:
Density functional theory data (PBE-GGA) for a relaxed LiMn2Pt crystal.

Cell: 2.5884 3.9809 4.7040 Å, 90.00 90.00 90.00°
Fractional coordinates of all 4 atoms:
Li 0.0000 0.0000 0.0000
Mn 0.5000 0.5000 0.2151
Mn 0.5000 0.5000 0.7849
Pt 0.0000 0.0000 0.5000

Summary:
ΔH_f (0 K), eV per atom: 0.08
Density of states at the Fermi level, states/eV/f.u.: 3.41
Symmetry: Pmmm



Entry 4:
Density functional theory data (PBE-GGA) for a relaxed HoTmAu2 crystal.

Cell: 5.0663 5.0663 3.5409 Å, 90.00 90.00 90.00°
Fractional coordinates of all 4 atoms:
Ho 0.0000 0.0000 0.0000
Tm 0.5000 0.5000 0.0000
Au 0.0000 0.5000 0.5000
Au 0.5000 0.0000 0.5000

Summary:
Excess energy over the best structure of this formula in the dataset, meV per atom: 0
ΔH_f (0 K), eV per atom: -0.88
Density of states at the Fermi level, states/eV/f.u.: 1.85
Symmetry: P4/mmm



Entry 5:
Density functional theory data (PBE-GGA) for a relaxed Al2PbSe crystal.

Cell: 3.5082 3.5082 7.2153 Å, 90.00 90.00 90.00°
Fractional coordinates of all 4 atoms:
Al 0.0000 0.0000 0.2013
Al 0.0000 0.0000 0.7987
Pb 0.5000 0.5000 0.5000
Se 0.5000 0.5000 0.0000

Summary:
Excess energy over the best structure of this formula in the dataset, meV per atom: 195
Density of states at the Fermi level, states/eV/f.u.: 1.89
Symmetry: P4/mmm



Entry 6:
Density functional theory data (PBE-GGA) for a relaxed Tm2TeN crystal.

Cell: 7.1792 7.1792 7.1792 Å, 29.71 29.71 29.71°
Fractional coordinates of all 4 atoms:
Tm 0.0000 0.0000 0.0000
Tm 0.2113 0.2113 0.2113
Te 0.4398 0.4398 0.4398
N 0.6104 0.6104 0.6104

Summary:
Excess energy over the best structure of this formula in the dataset, meV per atom: 6
Density of states at the Fermi level, states/eV/f.u.: 2.30
Symmetry: R3m



Entry 7:
Density functional theory data (PBE-GGA) for a relaxed CaCd2Mo crystal.

Cell: 5.5171 5.5171 5.3910 Å, 102.71 102.71 32.36°
Fractional coordinates of all 4 atoms:
Ca 0.0000 0.0000 0.0000
Cd 0.5042 0.5042 0.5217
Cd 0.7606 0.7606 0.2438
Mo 0.2431 0.2431 0.7254

Summary:
Excess energy over the best structure of this formula in the dataset, meV per atom: 109
ΔH_f (0 K), eV per atom: 0.40
Density of states at the Fermi level, states/eV/f.u.: 2.52
Symmetry: Cm



Entry 8:
Density functional theory data (PBE-GGA) for a relaxed PaNb2Sb3 crystal.

Cell: 4.0311 10.7429 6.7247 Å, 90.00 90.00 90.00°
Fractional coordinates of all 12 atoms:
Pa 0.0000 0.1044 0.0000
Pa 0.0000 0.8956 0.5000
Nb 0.0000 0.2396 0.4649
Nb 0.0000 0.7604 0.9649
Nb 0.5000 0.4550 0.4976
Nb 0.5000 0.5450 0.9976
Sb 0.0000 0.3956 0.7940
Sb 0.0000 0.6044 0.2940
Sb 0.5000 0.0894 0.6529
Sb 0.5000 0.2927 0.1761
Sb 0.5000 0.7073 0.6761
Sb 0.5000 0.9106 0.1529

Summary:
Density of states at the Fermi level, states/eV/f.u.: 5.73
VASP energy, eV per cell: -86.65
Symmetry: Pmc2_1



Entry 9:
Density functional theory data (PBE-GGA) for a relaxed RbCrGa2Re crystal.

Cell: 5.5773 5.5773 5.2818 Å, 90.00 90.00 90.00°
Fractional coordinates of all 5 atoms:
Rb 0.0000 0.0000 0.0000
Cr 0.0000 0.0000 0.5000
Ga 0.0000 0.5000 0.0000
Ga 0.5000 0.0000 0.0000
Re 0.5000 0.5000 0.5000

Summary:
ΔH_f (0 K), eV per atom: 2.65
Density of states at the Fermi level, states/eV/f.u.: 2.85
Symmetry: P4/mmm



Entry 10:
Density functional theory data (PBE-GGA) for a relaxed Cr2CoSnI crystal.

Cell: 4.7138 4.7138 5.0157 Å, 90.00 90.00 90.00°
Fractional coordinates of all 5 atoms:
Cr 0.0000 0.5000 0.0000
Cr 0.5000 0.0000 0.0000
Co 0.0000 0.0000 0.0000
Sn 0.5000 0.5000 0.5000
I 0.0000 0.0000 0.5000

Summary:
Density of states at the Fermi level, states/eV/f.u.: 5.88
VASP energy, eV per cell: -26.94
Symmetry: P4/mmm



Entry 11:
Density functional theory data (PBE-GGA) for a relaxed Ac4PbSeN crystal.

Cell: 7.5715 7.7009 9.0316 Å, 90.00 107.02 90.00°
Fractional coordinates of all 14 atoms:
Ac 0.0173 0.0075 0.2628
Ac 0.0173 0.4925 0.2628
Ac 0.4209 0.2500 0.1333
Ac 0.4465 0.2500 0.5800
Ac 0.5535 0.7500 0.4200
Ac 0.5791 0.7500 0.8667
Ac 0.9827 0.5075 0.7372
Ac 0.9827 0.9925 0.7372
Pb 0.2326 0.7500 0.0543
Pb 0.7674 0.2500 0.9457
Se 0.2091 0.7500 0.5574
Se 0.7909 0.2500 0.4426
N 0.2360 0.2500 0.3187
N 0.7640 0.7500 0.6813

Summary:
Density of states at the Fermi level, states/eV/f.u.: 6.06
VASP energy, eV per cell: -76.78
Symmetry: P2_1/m



Entry 12:
Density functional theory data (PBE-GGA) for a relaxed Y4Ho10Tm crystal.

Cell: 9.3864 9.3864 9.3864 Å, 99.58 99.58 131.85°
Fractional coordinates of all 15 atoms:
Y 0.1006 0.7007 0.8014
Y 0.2993 0.1006 0.3999
Y 0.7007 0.8994 0.6001
Y 0.8994 0.2993 0.1986
Ho 0.0527 0.3505 0.8998
Ho 0.1529 0.0527 0.7022
Ho 0.2500 0.7500 0.5000
Ho 0.3505 0.4507 0.2978
Ho 0.4507 0.1529 0.1002
Ho 0.5493 0.8471 0.8998
Ho 0.6495 0.5493 0.7022
Ho 0.7500 0.2500 0.5000
Ho 0.8471 0.9473 0.2978
Ho 0.9473 0.6495 0.1002
Tm 0.5000 0.5000 0.0000

Summary:
ΔH_f (0 K), eV per atom: 0.75
Density of states at the Fermi level, states/eV/f.u.: 15.48
Symmetry: I4/m



Entry 13:
Density functional theory data (PBE-GGA) for a relaxed BaCaMgCr2 crystal.

Cell: 5.7006 5.7006 5.8197 Å, 90.00 90.00 90.00°
Fractional coordinates of all 5 atoms:
Ba 0.0000 0.0000 0.0000
Ca 0.5000 0.5000 0.5000
Mg 0.5000 0.5000 0.0000
Cr 0.0000 0.5000 0.5000
Cr 0.5000 0.0000 0.5000

Summary:
ΔH_f (0 K), eV per atom: 1.11
Density of states at the Fermi level, states/eV/f.u.: 4.81
Symmetry: P4/mmm



Entry 14:
Density functional theory data (PBE-GGA) for a relaxed TmCdSeO5 crystal.

Cell: 5.9655 5.9655 8.2685 Å, 109.44 109.44 94.45°
Fractional coordinates of all 16 atoms:
Tm 0.0000 0.5000 0.0000
Tm 0.5000 0.0000 0.5000
Cd 0.0592 0.9408 0.7500
Cd 0.9408 0.0592 0.2500
Se 0.4161 0.5839 0.7500
Se 0.5839 0.4161 0.2500
O 0.1820 0.8180 0.2500
O 0.2112 0.6505 0.8585
O 0.2676 0.2799 0.5604
O 0.2799 0.2676 0.0604
O 0.3495 0.7888 0.6415
O 0.6505 0.2112 0.3585
O 0.7201 0.7324 0.9396
O 0.7324 0.7201 0.4396
O 0.7888 0.3495 0.1415
O 0.8180 0.1820 0.7500

Summary:
Density of states at the Fermi level, states/eV/f.u.: 1.24
VASP energy, eV per cell: -92.55
Symmetry: C2/c



Entry 15:
Density functional theory data (PBE-GGA) for a relaxed Rb2LiRe2 crystal.

Cell: 8.3517 8.3517 8.3517 Å, 145.21 145.21 50.03°
Fractional coordinates of all 5 atoms:
Rb 0.2500 0.7500 0.5000
Rb 0.7500 0.2500 0.5000
Li 0.0000 0.0000 0.0000
Re 0.4301 0.4301 0.0000
Re 0.5699 0.5699 0.0000

Summary:
Excess energy over the best structure of this formula in the dataset, meV per atom: 526
ΔH_f (0 K), eV per atom: 1.92
Density of states at the Fermi level, states/eV/f.u.: 6.04
Symmetry: I4/mmm



Entry 16:
Density functional theory data (PBE-GGA) for a relaxed TiGaFeAg2 crystal.

Cell: 4.9201 4.9201 4.1208 Å, 90.00 90.00 90.00°
Fractional coordinates of all 5 atoms:
Ti 0.0000 0.0000 0.0000
Ga 0.5000 0.5000 0.0000
Fe 0.0000 0.0000 0.5000
Ag 0.0000 0.5000 0.5000
Ag 0.5000 0.0000 0.5000

Summary:
ΔH_f (0 K), eV per atom: 0.65
Density of states at the Fermi level, states/eV/f.u.: 3.70
Symmetry: P4/mmm



Number 1: total magnetization 6.19 μB/cell. Number 2: total magnetization 0.00 μB/cell. Number 3: total magnetization 0.64 μB/cell. Number 4: total magnetization 0.00 μB/cell. Number 5: total magnetization 0.00 μB/cell. Number 6: total magnetization 0.00 μB/cell. Number 7: total magnetization 0.00 μB/cell. Number 8: total magnetization 0.00 μB/cell. Number 9: total magnetization 8.36 μB/cell. Number 10: total magnetization 6.96 μB/cell. Number 11: total magnetization 1.03 μB/cell. Number 12: total magnetization 0.00 μB/cell. Number 13: total magnetization 9.52 μB/cell. Number 14: total magnetization 1.69 μB/cell. Number 15: total magnetization 2.68 μB/cell. Number 16: total magnetization 0.00 μB/cell.